MnAgPO2: relaxed, GGA+U.

Geometry as CIF:
```
data_MnAgPO2
_chemical_formula_sum 'Mn1 Ag1 P1 O2'
_cell_length_a 4.014
_cell_length_b 4.014
_cell_length_c 4.957
_cell_angle_alpha 90.00
_cell_angle_beta 90.00
_cell_angle_gamma 90.00
_symmetry_space_group_name_H-M 'P 4/m m m'
_symmetry_Int_Tables_number 123
_symmetry_space_group_name_Hall '-P 4 2'
loop_
_atom_site_label
_atom_site_type_symbol
_atom_site_fract_x
_atom_site_fract_y
_atom_site_fract_z
Mn1 Mn 0.000 0.000 0.000
Ag1 Ag 0.500 0.500 0.500
P1 P 0.500 0.500 0.000
O1 O 0.000 0.500 0.500
```

Results
DFT total energy, eV/atom: -4.656
V, Å³/f.u.: 80